Entry from the Alexandria database: a geometry-optimized NdScInRh structure (GGA-PBE).

Output
size of the total moment = 0.00 μB/cell
DFT formation energy = -0.468 eV/atom
space group = F-43m, No. 216

Cell lengths 5.0543, 5.0543, 5.0543 Å; angles 60.00, 60.00, 60.00 degrees
Last column: nearest neighbours and their distance in Å.
Fractional positions:
Nd (0.0000, 0.0000, 0.0000)  4 In 3.10, 4 Rh 3.10
Sc (0.5000, 0.5000, 0.5000)  4 In 3.10, 4 Rh 3.10
In (0.7500, 0.7500, 0.7500)  4 Nd 3.10, 4 Sc 3.10
Rh (0.2500, 0.2500, 0.2500)  4 Nd 3.10, 4 Sc 3.10

=====

Entry from the Alexandria database: a geometry-optimized Nd3InSi2Rh9 structure (GGA-PBE).

Output
size of the total moment = 0.00 μB/cell
E_tot = -6.750 eV/atom
space group = P-3m1, No. 164

Cell lengths 6.1159, 6.1159, 9.6079 Å; angles 90.00, 90.00, 120.00 degrees
Last column: nearest neighbours and their distance in Å.
Fractional positions:
Nd (0.0000, 0.0000, 0.0000)  12 Rh 2.99-3.06
Nd (0.3333, 0.6667, 0.7251)  9 Rh 3.07-3.18
Nd (0.6667, 0.3333, 0.2749)  9 Rh 3.07-3.18
In (0.0000, 0.0000, 0.5000)  6 Rh 2.73
Si (0.3333, 0.6667, 0.1582)  6 Rh 2.24-2.33
Si (0.6667, 0.3333, 0.8418)  6 Rh 2.24-2.33
Rh (0.0000, 0.5000, 0.0000)  2 Si 2.33
Rh (0.1463, 0.2925, 0.2663)  1 Si 2.24
Rh (0.1463, 0.8537, 0.2663)  1 Si 2.24
Rh (0.2925, 0.1463, 0.7337)  1 Si 2.24
Rh (0.5000, 0.0000, 0.0000)  2 Si 2.33
Rh (0.5000, 0.5000, 0.0000)  2 Si 2.33
Rh (0.7075, 0.8537, 0.2663)  1 Si 2.24
Rh (0.8537, 0.1463, 0.7337)  1 Si 2.24
Rh (0.8537, 0.7075, 0.7337)  1 Si 2.24

=====

Entry from the Alexandria database: a geometry-optimized Nd3Tl2In3Rh structure (GGA-PBE).

Output
size of the total moment = 0.00 μB/cell
DFT formation energy = -0.520 eV/atom
space group = P-62m, No. 189

Cell lengths 7.6644, 7.6644, 4.6197 Å; angles 90.00, 90.00, 120.00 degrees
Last column: nearest neighbours and their distance in Å.
Fractional positions:
Nd (0.0000, 0.3910, 0.0000)  1 Rh 3.00, 4 Tl 3.31
Nd (0.3910, 0.0000, 0.0000)  1 Rh 3.00, 4 Tl 3.31
Nd (0.6090, 0.6090, 0.0000)  1 Rh 3.00, 4 Tl 3.31
Tl (0.3333, 0.6667, 0.5000)  3 In 3.02, 6 Nd 3.31
Tl (0.6667, 0.3333, 0.5000)  3 In 3.02, 6 Nd 3.31
In (0.0000, 0.7685, 0.5000)  2 Rh 2.91, 2 Tl 3.02, 2 In 3.07
In (0.2315, 0.2315, 0.5000)  2 Rh 2.91, 2 Tl 3.02, 2 In 3.07
In (0.7685, 0.0000, 0.5000)  2 Rh 2.91, 2 Tl 3.02, 2 In 3.07
Rh (0.0000, 0.0000, 0.0000)  6 In 2.91, 3 Nd 3.00

=====

Entry from the Alexandria database: a geometry-optimized NdTmInRh structure (GGA-PBE).

Output
size of the total moment = 0.00 μB/cell
DFT formation energy = -0.502 eV/atom
space group = F-43m, No. 216

Cell lengths 5.1515, 5.1515, 5.1515 Å; angles 60.00, 60.00, 60.00 degrees
Last column: nearest neighbours and their distance in Å.
Fractional positions:
Nd (0.0000, 0.0000, 0.0000)  4 In 3.15, 4 Rh 3.15
Tm (0.5000, 0.5000, 0.5000)  4 In 3.15, 4 Rh 3.15
In (0.7500, 0.7500, 0.7500)  4 Nd 3.15, 4 Tm 3.15
Rh (0.2500, 0.2500, 0.2500)  4 Nd 3.15, 4 Tm 3.15

=====

What is the formula in the first record?
NdScInRh

=====

What is the formula in the third record?
Nd3Tl2In3Rh

=====

Look up the size of the total moment of the first one.
0.00 μB/cell